DFT (PBE-GGA) results for a relaxed structure of NaSbH.

Structure (extended XYZ):
```
3
Lattice="3.213 0.000 0.000 0.000 3.213 0.000 -1.606 -1.606 6.016" Properties=species:S:1:pos:R:3 pbc="T T T"
Na 0.000 0.000 4.519
Sb 1.606 1.606 1.830
H 1.606 1.606 3.878
```

Calculated values
Symmetry: I4mm (107)
ΔE to the lowest computed polymorph: 0.218 eV per atom
ρ: 3.897 Mg/m³
N(E_F): 0.94 states/eV/cell

---

DFT (PBE-GGA) results for a relaxed structure of NaSbH.

Structure (extended XYZ):
```
6
Lattice="-5.200 -0.695 -4.208 0.974 -2.438 -2.101 -7.037 -3.692 0.961" Properties=species:S:1:pos:R:3 pbc="T T T"
Sb -0.767 -2.471 -1.497
H -2.452 -2.997 -1.672
Na -4.280 -1.370 -1.689
H -8.811 -3.828 -3.676
Sb -10.496 -4.355 -3.851
Na -6.983 -5.456 -3.659
```

Calculated values
Symmetry: P-1 (2)
ΔE to the lowest computed polymorph: 0.106 eV per atom
ρ: 3.718 Mg/m³
N(E_F): 2.07 states/eV/cell

---

DFT (PBE-GGA) results for a relaxed structure of Na2SbH.

Structure (extended XYZ):
```
4
Lattice="-2.121 2.307 1.419 -3.197 -0.915 0.880 0.799 -1.597 7.963" Properties=species:S:1:pos:R:3 pbc="T T T"
H 0.000 0.000 0.000
Na -1.324 0.104 2.022
Na -3.195 -0.309 8.239
Sb -2.260 -0.103 5.131
```

Calculated values
Symmetry: R-3m (166)
ΔE to the lowest computed polymorph: 0.030 eV per atom
ρ: 3.454 Mg/m³
N(E_F): 0.60 states/eV/cell

---

Which of these has the lowest ΔE to the lowest computed polymorph?
Na2SbH

---

Which value of N(E_F) does entry 3 give?
0.60 states/eV/cell